Entry from the Alexandria database: crystalline Ni5Te3Br12 at its relaxed geometry (PBE).

The value obtained for the density of states at the Fermi level is 1.320 states/eV per atom. The uncorrected energy is -230.80 eV per cell. The formation energy without anion corrections is 3.40 kJ/mol of atoms. Its crystal system is cubic.

Lattice parameters (Å, degrees): 14.2214 14.2214 14.2214 109.47 109.47 109.47
Fractional coordinates of all 80 atoms:
Ni1 0.0000 0.0000 0.0000
Ni2 0.0000 0.0000 0.5000
Ni3 0.0000 0.5000 0.0000
Ni4 0.0000 0.5000 0.5000
Ni5 0.1250 0.7500 0.8750
Ni6 0.1250 0.8750 0.2500
Ni7 0.2500 0.1250 0.8750
Ni8 0.2500 0.6250 0.3750
Ni9 0.3750 0.2500 0.6250
Ni10 0.3750 0.6250 0.7500
Ni11 0.5000 0.0000 0.0000
Ni12 0.5000 0.0000 0.5000
Ni13 0.5000 0.5000 0.0000
Ni14 0.5000 0.5000 0.5000
Ni15 0.6250 0.3750 0.2500
Ni16 0.6250 0.7500 0.3750
Ni17 0.7500 0.3750 0.6250
Ni18 0.7500 0.8750 0.1250
Ni19 0.8750 0.1250 0.7500
Ni20 0.8750 0.2500 0.1250
Te1 0.1250 0.2500 0.3750
Te2 0.1250 0.3750 0.7500
Te3 0.2500 0.3750 0.1250
Te4 0.2500 0.8750 0.6250
Te5 0.3750 0.1250 0.2500
Te6 0.3750 0.7500 0.1250
Te7 0.6250 0.2500 0.8750
Te8 0.6250 0.8750 0.7500
Te9 0.7500 0.1250 0.3750
Te10 0.7500 0.6250 0.8750
Te11 0.8750 0.6250 0.2500
Te12 0.8750 0.7500 0.6250
Br1 0.0112 0.1882 0.1262
Br2 0.0112 0.3231 0.8851
Br3 0.0620 0.6882 0.6769
Br4 0.0620 0.8738 0.3851
Br5 0.1149 0.6262 0.4380
Br6 0.1149 0.9888 0.6769
Br7 0.1262 0.0112 0.1882
Br8 0.1262 0.6149 0.9380
Br9 0.1769 0.1882 0.5620
Br10 0.1769 0.4888 0.6149
Br11 0.1882 0.1262 0.0112
Br12 0.1882 0.5620 0.1769
Br13 0.3118 0.3231 0.9380
Br14 0.3118 0.4888 0.3738
Br15 0.3231 0.8851 0.0112
Br16 0.3231 0.9380 0.3118
Br17 0.3738 0.3118 0.4888
Br18 0.3738 0.5620 0.8851
Br19 0.3851 0.0620 0.8738
Br20 0.3851 0.8231 0.5112
Br21 0.4380 0.1149 0.6262
Br22 0.4380 0.8231 0.8118
Br23 0.4888 0.3738 0.3118
Br24 0.4888 0.6149 0.1769
Br25 0.5112 0.3851 0.8231
Br26 0.5112 0.6262 0.6882
Br27 0.5620 0.1769 0.1882
Br28 0.5620 0.8851 0.3738
Br29 0.6149 0.1769 0.4888
Br30 0.6149 0.9380 0.1262
Br31 0.6262 0.4380 0.1149
Br32 0.6262 0.6882 0.5112
Br33 0.6769 0.0620 0.6882
Br34 0.6769 0.1149 0.9888
Br35 0.6882 0.5112 0.6262
Br36 0.6882 0.6769 0.0620
Br37 0.8118 0.4380 0.8231
Br38 0.8118 0.8738 0.9888
Br39 0.8231 0.5112 0.3851
Br40 0.8231 0.8118 0.4380
Br41 0.8738 0.3851 0.0620
Br42 0.8738 0.9888 0.8118
Br43 0.8851 0.0112 0.3231
Br44 0.8851 0.3738 0.5620
Br45 0.9380 0.1262 0.6149
Br46 0.9380 0.3118 0.3231
Br47 0.9888 0.6769 0.1149
Br48 0.9888 0.8118 0.8738

***

Entry from the Alexandria database: crystalline Rb4Ca3Cl10 at its relaxed geometry (PBE).

The value obtained for the density of states at the Fermi level is 0.000 states/eV per atom. The uncorrected energy is -65.84 eV per cell. The formation energy without anion corrections is -212.80 kJ/mol of atoms. Its crystal system is tetragonal.

Lattice parameters (Å, degrees): 19.4708 19.4708 19.4708 164.00 164.00 22.71
Fractional coordinates of all 17 atoms:
Rb1 0.0690 0.0690 0.0000
Rb2 0.2017 0.2017 0.0000
Rb3 0.7983 0.7983 0.0000
Rb4 0.9310 0.9310 0.0000
Ca1 0.3569 0.3569 0.0000
Ca2 0.5000 0.5000 0.0000
Ca3 0.6431 0.6431 0.0000
Cl1 0.0000 0.5000 0.5000
Cl2 0.1405 0.6405 0.5000
Cl3 0.2866 0.2866 0.0000
Cl4 0.3595 0.8595 0.5000
Cl5 0.4289 0.4289 0.0000
Cl6 0.5000 0.0000 0.5000
Cl7 0.5711 0.5711 0.0000
Cl8 0.6405 0.1405 0.5000
Cl9 0.7134 0.7134 0.0000
Cl10 0.8595 0.3595 0.5000

***

Entry from the Alexandria database: crystalline KCe2ReN4 at its relaxed geometry (PBE).

The value obtained for the density of states at the Fermi level is 0.559 states/eV per atom. The uncorrected energy is -130.43 eV per cell. The formation energy without anion corrections is -78.41 kJ/mol of atoms. Its crystal system is orthorhombic.

Lattice parameters (Å, degrees): 6.6288 6.6288 12.3399 90.00 90.00 149.33
Fractional coordinates of all 16 atoms:
K1 0.0639 0.9361 0.7500
K2 0.9361 0.0639 0.2500
Ce1 0.3693 0.6307 0.5439
Ce2 0.3693 0.6307 0.9561
Ce3 0.6307 0.3693 0.0439
Ce4 0.6307 0.3693 0.4561
Re1 0.2011 0.7989 0.2500
Re2 0.7989 0.2011 0.7500
N1 0.0000 0.0000 0.0000
N2 0.0000 0.0000 0.5000
N3 0.2481 0.7519 0.1010
N4 0.2481 0.7519 0.3990
N5 0.3746 0.6254 0.7500
N6 0.6254 0.3746 0.2500
N7 0.7519 0.2481 0.6010
N8 0.7519 0.2481 0.8990

***

Entry from the Alexandria database: crystalline LiPr3Tl4 at its relaxed geometry (PBE).

The value obtained for the density of states at the Fermi level is 0.777 states/eV per atom. Its energy of formation is -0.352 eV/atom. The uncorrected energy is -28.53 eV per cell. Its crystal system is tetragonal.

Lattice parameters (Å, degrees): 3.6826 3.6826 16.4636 90.00 90.00 90.00
Fractional coordinates of all 8 atoms:
Li1 0.0000 0.0000 0.0000
Pr1 0.0000 0.0000 0.2307
Pr2 0.0000 0.0000 0.5000
Pr3 0.0000 0.0000 0.7693
Tl1 0.5000 0.5000 0.0969
Tl2 0.5000 0.5000 0.3652
Tl3 0.5000 0.5000 0.6348
Tl4 0.5000 0.5000 0.9031

***

Entry from the Alexandria database: crystalline ZrScHgRu at its relaxed geometry (PBE).

The value obtained for the density of states at the Fermi level is 0.894 states/eV per atom. Its energy of formation is -0.328 eV/atom. The uncorrected energy is -25.77 eV per cell. Its crystal system is cubic.

Lattice parameters (Å, degrees): 4.7869 4.7869 4.7869 60.00 60.00 60.00
Fractional coordinates of all 4 atoms:
Zr1 0.0000 0.0000 0.0000
Sc1 0.5000 0.5000 0.5000
Hg1 0.2500 0.2500 0.2500
Ru1 0.7500 0.7500 0.7500

***

Entry from the Alexandria database: crystalline CsSi6Pt12 at its relaxed geometry (PBE).

The value obtained for the density of states at the Fermi level is 0.485 states/eV per atom. The uncorrected energy is -116.20 eV per cell. The formation energy without anion corrections is -52.38 kJ/mol of atoms. Its crystal system is trigonal.

Lattice parameters (Å, degrees): 7.2131 7.2131 7.2131 105.38 105.38 105.38
Fractional coordinates of all 19 atoms:
Cs1 0.0000 0.0000 0.0000
Si1 0.2427 0.2427 0.6716
Si2 0.2427 0.6716 0.2427
Si3 0.3284 0.7573 0.7573
Si4 0.6716 0.2427 0.2427
Si5 0.7573 0.3284 0.7573
Si6 0.7573 0.7573 0.3284
Pt1 0.1279 0.5000 0.8721
Pt2 0.1279 0.8721 0.5000
Pt3 0.1781 0.4486 0.4486
Pt4 0.4486 0.1781 0.4486
Pt5 0.4486 0.4486 0.1781
Pt6 0.5000 0.1279 0.8721
Pt7 0.5000 0.8721 0.1279
Pt8 0.5514 0.5514 0.8219
Pt9 0.5514 0.8219 0.5514
Pt10 0.8219 0.5514 0.5514
Pt11 0.8721 0.1279 0.5000
Pt12 0.8721 0.5000 0.1279

***

- Look up the uncorrected energy of the sixth one.
  -116.20 eV per cell

***

- What is the density of states at the Fermi level in the fourth record?
  0.777 states/eV per atom

***

- What is the formula in the fourth record?
  LiPr3Tl4

***

- uncorrected energy of number 1 (Ni5Te3Br12)?
  -230.80 eV per cell